(1)
{
  "formula": "UGe",
  "functional": "PBE-GGA",
  "state": "relaxed",
  "e_tot_ev_per_cell": -15.885,
  "lattice": [[0.0000, 2.9002, 2.9002], [2.9002, 0.0000, 2.9002], [2.9002, 2.9002, 0.0000]],
  "species": ["U", "Ge"],
  "fractional_positions": [[0.0000, 0.0000, 0.0000], [0.5000, 0.5000, 0.5000]]
}

***

(2)
{
  "formula": "Te2Au2O5",
  "functional": "PBE-GGA",
  "state": "relaxed",
  "polymorph_energy_kcal_per_mol_atoms": 11.96,
  "e_tot_ev_per_cell": -34.447,
  "lattice": [[3.9007, 0.0000, 0.0000], [0.0000, 3.9007, 0.0000], [0.0000, 0.0000, 8.4478]],
  "species": ["Te", "Te", "Au", "Au", "O", "O", "O", "O", "O"],
  "fractional_positions": [[0.0000, 0.0000, 0.0000], [0.0000, 0.0000, 0.5000], [0.5000, 0.5000, 0.2299], [0.5000, 0.5000, 0.7701], [0.0000, 0.5000, 0.3094], [0.0000, 0.5000, 0.6906], [0.5000, 0.0000, 0.3094], [0.5000, 0.0000, 0.6906], [0.5000, 0.5000, 0.5000]]
}

***

(3)
{
  "formula": "Zn4Si3",
  "functional": "PBE-GGA",
  "state": "relaxed",
  "polymorph_energy_kcal_per_mol_atoms": 0.00,
  "e_tot_ev_per_cell": -38.419,
  "lattice": [[7.3826, 0.0000, 0.0000], [-3.6913, 6.3935, 0.0000], [0.0000, 0.0000, 4.4884]],
  "species": ["Zn", "Zn", "Zn", "Zn", "Zn", "Zn", "Zn", "Zn", "Si", "Si", "Si", "Si", "Si", "Si"],
  "fractional_positions": [[0.0952, 0.6079, 0.2500], [0.3333, 0.6667, 0.7500], [0.3921, 0.4874, 0.2500], [0.4874, 0.0952, 0.7500], [0.5126, 0.9048, 0.2500], [0.6079, 0.5126, 0.7500], [0.6667, 0.3333, 0.2500], [0.9048, 0.3921, 0.7500], [0.0433, 0.8174, 0.7500], [0.1826, 0.2259, 0.7500], [0.2259, 0.0433, 0.2500], [0.7741, 0.9567, 0.7500], [0.8174, 0.7741, 0.2500], [0.9567, 0.1826, 0.2500]]
}